1.
Here is a geometry-optimized Sr3TiNb4O15 structure from Alexandria. Energies are from PBEsol.

Values from the calculation:
size of the total moment = 0.00 μB per atom
ΔE_f (raw) = -2830 meV per atom
crystal system = monoclinic

a b c (Å): 3.922 12.588 12.629
angles (deg): 90.00 90.22 90.00
Space group Pc (No. 7)
Inequivalent atoms, fractional coordinates:
Sr  0.000  0.026  0.000 [2 per cell]
Sr  0.004  0.249  0.630 [2 per cell]
Sr  0.998  0.374  0.345 [2 per cell]
Ti  0.490  0.177  0.427 [2 per cell]
Nb  0.478  0.241  0.132 [2 per cell]
Nb  0.507  0.465  0.559 [2 per cell]
Nb  0.508  0.041  0.722 [2 per cell]
Nb  0.509  0.334  0.846 [2 per cell]
O  0.000  0.242  0.123 [2 per cell]
O  0.008  0.044  0.695 [2 per cell]
O  0.008  0.331  0.820 [2 per cell]
O  0.008  0.448  0.536 [2 per cell]
O  0.010  0.173  0.423 [2 per cell]
O  0.507  0.086  0.119 [2 per cell]
O  0.507  0.252  0.283 [2 per cell]
O  0.508  0.186  0.759 [2 per cell]
O  0.508  0.381  0.683 [2 per cell]
O  0.508  0.478  0.899 [2 per cell]
O  0.509  0.021  0.358 [2 per cell]
O  0.509  0.250  0.968 [2 per cell]
O  0.509  0.316  0.478 [2 per cell]
O  0.510  0.112  0.559 [2 per cell]
O  0.511  0.404  0.130 [2 per cell]



2.
Here is a geometry-optimized Sr2TmNbO6 structure from Alexandria. Energies are from PBEsol.

Values from the calculation:
size of the total moment = 0.00 μB per atom
ΔE_f (raw) = -3076 meV per atom
crystal system = orthorhombic

a b c (Å): 5.842 8.267 5.917
angles (deg): 90.00 90.00 90.00
Space group Imm2 (No. 44)
Inequivalent atoms, fractional coordinates:
Sr  0.000  0.248  0.000 [4 per cell]
Tm  0.000  0.500  0.465 [2 per cell]
Nb  0.000  0.000  0.461 [2 per cell]
O  0.000  0.240  0.436 [4 per cell]
O  0.228  0.000  0.200 [4 per cell]
O  0.248  0.500  0.179 [4 per cell]



3.
Here is a geometry-optimized Sr2YNbO6 structure from Alexandria. Energies are from PBEsol.

Values from the calculation:
size of the total moment = 0.00 μB per atom
ΔE_f (raw) = -3024 meV per atom
crystal system = cubic

a b c (Å): 8.340 8.340 8.340
angles (deg): 90.00 90.00 90.00
Space group Fm-3m (No. 225)
Inequivalent atoms, fractional coordinates:
Sr  0.250  0.250  0.250 [8 per cell]
Y  0.000  0.000  0.000 [4 per cell]
Nb  0.000  0.000  0.500 [4 per cell]
O  0.000  0.000  0.261 [24 per cell]



4.
Here is a geometry-optimized SrYNbO2 structure from Alexandria. Energies are from PBEsol.

Values from the calculation:
size of the total moment = 0.00 μB per atom
ΔE_f (raw) = -540 meV per atom
crystal system = tetragonal

a b c (Å): 4.164 4.164 5.711
angles (deg): 90.00 90.00 90.00
Space group P4/mmm (No. 123)
Inequivalent atoms, fractional coordinates:
Sr  0.000  0.000  0.000 [1 per cell]
Y  0.500  0.500  0.000 [1 per cell]
Nb  0.500  0.500  0.500 [1 per cell]
O  0.000  0.500  0.500 [2 per cell]



5.
Here is a geometry-optimized Sr2YNbO6 structure from Alexandria. Energies are from PBEsol.

Values from the calculation:
size of the total moment = 0.00 μB per atom
ΔE_f (raw) = -3103 meV per atom
crystal system = monoclinic

a b c (Å): 5.782 5.888 10.036
angles (deg): 90.00 124.96 90.00
Space group P2_1/c (No. 14)
Inequivalent atoms, fractional coordinates:
Sr  0.241  0.041  0.251 [4 per cell]
Y  0.500  0.000  0.000 [2 per cell]
Nb  0.000  0.000  0.500 [2 per cell]
O  0.147  0.223  0.952 [4 per cell]
O  0.234  0.697  0.957 [4 per cell]
O  0.322  0.027  0.736 [4 per cell]



6.
Here is a geometry-optimized Sr3Nb2ZnO9 structure from Alexandria. Energies are from PBEsol.

Values from the calculation:
size of the total moment = 0.00 μB per atom
ΔE_f (raw) = -2687 meV per atom
crystal system = trigonal

a b c (Å): 5.6801 5.6801 6.9844
angles (deg): 90.00 90.00 120.00
Space group P-3m1 (No. 164)
Inequivalent atoms, fractional coordinates:
Sr  0.0000  0.0000  0.0000 [1 per cell]
Sr  0.3333  0.6667  0.6651 [2 per cell]
Nb  0.3333  0.6667  0.1795 [2 per cell]
Zn  0.0000  0.0000  0.5000 [1 per cell]
O  0.0000  0.5000  0.0000 [3 per cell]
O  0.1684  0.3368  0.3278 [6 per cell]



7.
Here is a geometry-optimized Sr3Zr2Nb2O12 structure from Alexandria. Energies are from PBEsol.

Values from the calculation:
size of the total moment = 0.00 μB per atom
ΔE_f (raw) = -3033 meV per atom
crystal system = trigonal

a b c (Å): 5.7685 5.7685 27.8072
angles (deg): 90.00 90.00 120.00
Space group R-3m (No. 166, hexagonal axes)
Inequivalent atoms, fractional coordinates:
Sr  0.0000  0.0000  0.0000 [3 per cell]
Sr  0.0000  0.0000  0.2500 [6 per cell]
Zr  0.0000  0.0000  0.3775 [6 per cell]
Nb  0.0000  0.0000  0.1266 [6 per cell]
O  0.0000  0.5000  0.0000 [9 per cell]
O  0.0000  0.5000  0.5000 [9 per cell]
O  0.0209  0.5104  0.7490 [18 per cell]



8.
Here is a geometry-optimized Sr2ZrNbO6 structure from Alexandria. Energies are from PBEsol.

Values from the calculation:
size of the total moment = 0.00 μB per atom
ΔE_f (raw) = -3028 meV per atom
crystal system = cubic

a b c (Å): 8.181 8.181 8.181
angles (deg): 90.00 90.00 90.00
Space group Fm-3m (No. 225)
Inequivalent atoms, fractional coordinates:
Sr  0.250  0.250  0.250 [8 per cell]
Zr  0.000  0.000  0.000 [4 per cell]
Nb  0.000  0.000  0.500 [4 per cell]
O  0.000  0.000  0.253 [24 per cell]



9.
Here is a geometry-optimized TaNbO2 structure from Alexandria. Energies are from PBEsol.

Values from the calculation:
size of the total moment = 0.00 μB per atom
ΔE_f (raw) = -1459 meV per atom
crystal system = tetragonal

a b c (Å): 4.028 4.028 12.472
angles (deg): 90.00 90.00 90.00
Space group I-42d (No. 122)
Inequivalent atoms, fractional coordinates:
Ta  0.000  0.000  0.000 [4 per cell]
Nb  0.000  0.000  0.500 [4 per cell]
O  0.235  0.250  0.125 [8 per cell]



10.
Here is a geometry-optimized Tb3NbO7 structure from Alexandria. Energies are from PBEsol.

Values from the calculation:
size of the total moment = 0.00 μB per atom
ΔE_f (raw) = -3341 meV per atom
crystal system = orthorhombic
polymorph energy (0 for the lowest one) = 0.00 eV per formula unit

a b c (Å): 7.517 10.490 7.433
angles (deg): 90.00 90.00 90.00
Space group C222_1 (No. 20)
Inequivalent atoms, fractional coordinates:
Tb  0.036  0.000  0.000 [4 per cell]
Tb  0.231  0.269  0.761 [8 per cell]
Nb  0.002  0.500  0.000 [4 per cell]
O  0.000  0.129  0.250 [4 per cell]
O  0.000  0.139  0.750 [4 per cell]
O  0.000  0.427  0.750 [4 per cell]
O  0.179  0.371  0.048 [8 per cell]
O  0.209  0.377  0.478 [8 per cell]



11.
Here is a geometry-optimized TbNbO4 structure from Alexandria. Energies are from PBEsol.

Values from the calculation:
size of the total moment = 0.00 μB per atom
ΔE_f (raw) = -3086 meV per atom
crystal system = monoclinic

a b c (Å): 7.438 5.279 7.628
angles (deg): 90.00 97.31 90.00
Space group P2_1/c (No. 14)
Inequivalent atoms, fractional coordinates:
Tb  0.142  0.225  0.390 [4 per cell]
Nb  0.338  0.723  0.173 [4 per cell]
O  0.110  0.001  0.664 [4 per cell]
O  0.166  0.509  0.620 [4 per cell]
O  0.335  0.620  0.932 [4 per cell]
O  0.429  0.097  0.816 [4 per cell]



12.
Here is a geometry-optimized Tb3NbO7 structure from Alexandria. Energies are from PBEsol.

Values from the calculation:
size of the total moment = 0.00 μB per atom
ΔE_f (raw) = -3330 meV per atom
crystal system = orthorhombic
polymorph energy (0 for the lowest one) = 0.12 eV per formula unit

a b c (Å): 7.382 10.534 7.474
angles (deg): 90.00 90.00 90.00
Space group Pnma (No. 62)
Inequivalent atoms, fractional coordinates:
Tb  0.016  0.250  0.205 [4 per cell]
Tb  0.249  0.524  0.040 [8 per cell]
Nb  0.005  0.250  0.748 [4 per cell]
O  0.040  0.125  0.956 [8 per cell]
O  0.046  0.608  0.406 [8 per cell]
O  0.241  0.617  0.770 [8 per cell]
O  0.249  0.250  0.653 [4 per cell]